No. 1
A plane-wave DFT calculation with PBE was carried out for crystalline SrMg9Zn3 at its relaxed geometry.

Geometry as CIF:
```
data_SrMg9Zn3
_chemical_formula_sum 'Sr2 Mg18 Zn6'
_symmetry_space_group_name_H-M 'C 1 2/m 1'
_symmetry_Int_Tables_number 12
_symmetry_space_group_name_Hall '-C 2y'
_cell_length_a 5.7245
_cell_length_b 14.2447
_cell_length_c 7.5929
_cell_angle_alpha 90.00
_cell_angle_beta 111.18
_cell_angle_gamma 90.00
loop_
_atom_site_label
_atom_site_type_symbol
_atom_site_fract_x
_atom_site_fract_y
_atom_site_fract_z
_atom_site_occupancy
Sr1 Sr 0.0000 0.0000 0.0000 1
Mg1 Mg 0.0000 0.0000 0.5000 1
Mg2 Mg 0.0986 0.3880 0.2142 1
Mg3 Mg 0.1697 0.1795 0.3432 1
Zn1 Zn 0.0000 0.5000 0.5000 1
Zn2 Zn 0.2500 0.2500 0.0000 1
```

Calculated values
The formation energy is -1.2 eV/f.u.

---

No. 2
A plane-wave DFT calculation with PBE was carried out for crystalline InBrCl at its relaxed geometry.

Geometry as CIF:
```
data_InBrCl
_chemical_formula_sum 'In2 Br2 Cl2'
_symmetry_space_group_name_H-M 'P 1'
_symmetry_Int_Tables_number 1
_symmetry_space_group_name_Hall 'P 1'
_cell_length_a 6.6968
_cell_length_b 6.7006
_cell_length_c 6.7481
_cell_angle_alpha 116.84
_cell_angle_beta 98.79
_cell_angle_gamma 113.02
loop_
_atom_site_label
_atom_site_type_symbol
_atom_site_fract_x
_atom_site_fract_y
_atom_site_fract_z
_atom_site_occupancy
In1 In 0.0000 0.0000 0.0000 1
In2 In 0.4674 0.9652 0.4986 1
Br1 Br 0.6354 0.5990 0.6227 1
Br2 Br 0.9764 0.0126 0.3774 1
Cl1 Cl 0.0256 0.3844 0.0368 1
Cl2 Cl 0.3476 0.9887 0.9631 1
```

Calculated values
The calculation puts the electronic total energy at -2.976 eV/atom.

---

No. 3
A plane-wave DFT calculation with PBE was carried out for crystalline Fe2TcNi at its relaxed geometry.

Geometry as CIF:
```
data_Fe2TcNi
_chemical_formula_sum 'Fe2 Tc1 Ni1'
_symmetry_space_group_name_H-M 'P 4 m m'
_symmetry_Int_Tables_number 99
_symmetry_space_group_name_Hall 'P 4 -2'
_cell_length_a 2.5709
_cell_length_b 2.5709
_cell_length_c 7.3075
_cell_angle_alpha 90.00
_cell_angle_beta 90.00
_cell_angle_gamma 90.00
loop_
_atom_site_label
_atom_site_type_symbol
_atom_site_fract_x
_atom_site_fract_y
_atom_site_fract_z
_atom_site_occupancy
Fe1 Fe 0.0000 0.0000 0.0000 1
Fe2 Fe 0.5000 0.5000 0.2438 1
Tc1 Tc 0.5000 0.5000 0.7462 1
Ni1 Ni 0.0000 0.0000 0.4843 1
```

Calculated values
The formation energy is 0.2 eV/f.u.

---

No. 4
A plane-wave DFT calculation with PBE was carried out for crystalline Ta3TeN at its relaxed geometry.

Geometry as CIF:
```
data_Ta3TeN
_chemical_formula_sum 'Ta3 Te1 N1'
_symmetry_space_group_name_H-M 'P m -3 m'
_symmetry_Int_Tables_number 221
_symmetry_space_group_name_Hall '-P 4 2 3'
_cell_length_a 4.3147
_cell_length_b 4.3147
_cell_length_c 4.3147
_cell_angle_alpha 90.00
_cell_angle_beta 90.00
_cell_angle_gamma 90.00
loop_
_atom_site_label
_atom_site_type_symbol
_atom_site_fract_x
_atom_site_fract_y
_atom_site_fract_z
_atom_site_occupancy
Ta1 Ta 0.0000 0.0000 0.5000 1
Te1 Te 0.5000 0.5000 0.5000 1
N1 N 0.0000 0.0000 0.0000 1
```

Calculated values
The energy above the lowest structure with this stoichiometry comes out at 0 meV per atom.

---

No. 5
A plane-wave DFT calculation with PBE was carried out for crystalline LuPuAlTc at its relaxed geometry.

Geometry as CIF:
```
data_LuPuAlTc
_chemical_formula_sum 'Lu4 Pu4 Al4 Tc4'
_symmetry_space_group_name_H-M 'F -4 3 m'
_symmetry_Int_Tables_number 216
_symmetry_space_group_name_Hall 'F -4 2 3'
_cell_length_a 6.9029
_cell_length_b 6.9029
_cell_length_c 6.9029
_cell_angle_alpha 90.00
_cell_angle_beta 90.00
_cell_angle_gamma 90.00
loop_
_atom_site_label
_atom_site_type_symbol
_atom_site_fract_x
_atom_site_fract_y
_atom_site_fract_z
_atom_site_occupancy
Lu1 Lu 0.0000 0.0000 0.0000 1
Pu1 Pu 0.0000 0.0000 0.5000 1
Al1 Al 0.2500 0.2500 0.2500 1
Tc1 Tc 0.2500 0.2500 0.7500 1
```

Calculated values
The formation energy is -0.3 eV/f.u.

---

No. 6
A plane-wave DFT calculation with PBE was carried out for crystalline ScFe2RuC at its relaxed geometry.

Geometry as CIF:
```
data_ScFe2RuC
_chemical_formula_sum 'Sc1 Fe2 Ru1 C1'
_symmetry_space_group_name_H-M 'P 4/m m m'
_symmetry_Int_Tables_number 123
_symmetry_space_group_name_Hall '-P 4 2'
_cell_length_a 3.8600
_cell_length_b 3.8600
_cell_length_c 4.1294
_cell_angle_alpha 90.00
_cell_angle_beta 90.00
_cell_angle_gamma 90.00
loop_
_atom_site_label
_atom_site_type_symbol
_atom_site_fract_x
_atom_site_fract_y
_atom_site_fract_z
_atom_site_occupancy
Sc1 Sc 0.0000 0.0000 0.0000 1
Fe1 Fe 0.0000 0.5000 0.5000 1
Ru1 Ru 0.5000 0.5000 0.0000 1
C1 C 0.5000 0.5000 0.5000 1
```

Calculated values
The formation energy is -1.0 eV/f.u.

---

No. 7
A plane-wave DFT calculation with PBE was carried out for crystalline AlF at its relaxed geometry.

Geometry as CIF:
```
data_AlF
_chemical_formula_sum 'Al8 F8'
_symmetry_space_group_name_H-M 'I 4/m'
_symmetry_Int_Tables_number 87
_symmetry_space_group_name_Hall '-I 4'
_cell_length_a 9.9271
_cell_length_b 9.9271
_cell_length_c 2.8316
_cell_angle_alpha 90.00
_cell_angle_beta 90.00
_cell_angle_gamma 90.00
loop_
_atom_site_label
_atom_site_type_symbol
_atom_site_fract_x
_atom_site_fract_y
_atom_site_fract_z
_atom_site_occupancy
Al1 Al 0.0298 0.1821 0.0000 1
F1 F 0.0504 0.3025 0.5000 1
```

Calculated values
The calculation puts the electronic total energy at -4.686 eV/atom.

---

No. 8
A plane-wave DFT calculation with PBE was carried out for crystalline KY2Ag2 at its relaxed geometry.

Geometry as CIF:
```
data_KY2Ag2
_chemical_formula_sum 'K2 Y4 Ag4'
_symmetry_space_group_name_H-M 'P 4/m b m'
_symmetry_Int_Tables_number 127
_symmetry_space_group_name_Hall '-P 4 2ab'
_cell_length_a 8.9020
_cell_length_b 8.9020
_cell_length_c 3.6094
_cell_angle_alpha 90.00
_cell_angle_beta 90.00
_cell_angle_gamma 90.00
loop_
_atom_site_label
_atom_site_type_symbol
_atom_site_fract_x
_atom_site_fract_y
_atom_site_fract_z
_atom_site_occupancy
K1 K 0.0000 0.0000 0.0000 1
Y1 Y 0.1448 0.3552 0.5000 1
Ag1 Ag 0.1399 0.6399 0.0000 1
```

Calculated values
The energy above the lowest structure with this stoichiometry comes out at 0 meV per atom. The formation energy is 0.1 eV/f.u.

---

No. 9
A plane-wave DFT calculation with PBE was carried out for crystalline Ac2CePmBi5 at its relaxed geometry.

Geometry as CIF:
```
data_Ac2CePmBi5
_chemical_formula_sum 'Ac2 Ce1 Pm1 Bi5'
_symmetry_space_group_name_H-M 'P 4/m m m'
_symmetry_Int_Tables_number 123
_symmetry_space_group_name_Hall '-P 4 2'
_cell_length_a 5.5855
_cell_length_b 5.5855
_cell_length_c 12.2799
_cell_angle_alpha 90.00
_cell_angle_beta 90.00
_cell_angle_gamma 90.00
loop_
_atom_site_label
_atom_site_type_symbol
_atom_site_fract_x
_atom_site_fract_y
_atom_site_fract_z
_atom_site_occupancy
Ac1 Ac 0.0000 0.0000 0.2186 1
Ce1 Ce 0.5000 0.5000 0.5000 1
Pm1 Pm 0.5000 0.5000 0.0000 1
Bi1 Bi 0.0000 0.0000 0.5000 1
Bi2 Bi 0.0000 0.5000 0.0000 1
Bi3 Bi 0.5000 0.5000 0.2545 1
```

Calculated values
The formation energy is -2.4 eV/f.u.

---

No. 10
A plane-wave DFT calculation with PBE was carried out for crystalline La2YHg6 at its relaxed geometry.

Geometry as CIF:
```
data_La2YHg6
_chemical_formula_sum 'La2 Y1 Hg6'
_symmetry_space_group_name_H-M 'P 6/m m m'
_symmetry_Int_Tables_number 191
_symmetry_space_group_name_Hall '-P 6 2'
_cell_length_a 8.7620
_cell_length_b 8.7620
_cell_length_c 3.5294
_cell_angle_alpha 90.00
_cell_angle_beta 90.00
_cell_angle_gamma 120.00
loop_
_atom_site_label
_atom_site_type_symbol
_atom_site_fract_x
_atom_site_fract_y
_atom_site_fract_z
_atom_site_occupancy
La1 La 0.3333 0.6667 0.0000 1
Y1 Y 0.0000 0.0000 0.0000 1
Hg1 Hg 0.0000 0.3297 0.5000 1
```

Calculated values
The formation energy is -4.1 eV/f.u.

---

Please write out number 8 again, unchanged.
A plane-wave DFT calculation with PBE was carried out for crystalline KY2Ag2 at its relaxed geometry.

Geometry as CIF:
```
data_KY2Ag2
_chemical_formula_sum 'K2 Y4 Ag4'
_symmetry_space_group_name_H-M 'P 4/m b m'
_symmetry_Int_Tables_number 127
_symmetry_space_group_name_Hall '-P 4 2ab'
_cell_length_a 8.9020
_cell_length_b 8.9020
_cell_length_c 3.6094
_cell_angle_alpha 90.00
_cell_angle_beta 90.00
_cell_angle_gamma 90.00
loop_
_atom_site_label
_atom_site_type_symbol
_atom_site_fract_x
_atom_site_fract_y
_atom_site_fract_z
_atom_site_occupancy
K1 K 0.0000 0.0000 0.0000 1
Y1 Y 0.1448 0.3552 0.5000 1
Ag1 Ag 0.1399 0.6399 0.0000 1
```

Calculated values
The energy above the lowest structure with this stoichiometry comes out at 0 meV per atom. The formation energy is 0.1 eV/f.u.